{
  "formula": "Na3H3Rh",
  "functional": "PBE-GGA",
  "state": "optimized geometry",
  "space_group": "C2/m (12)",
  "e_tot_ev_per_atom": -3.207,
  "vol_a3_per_atom": 14.0,
  "cell": [[3.288, -5.008, 0.000], [3.288, 5.008, 0.000], [-0.702, 0.000, 5.934]],
  "species": ["Na", "Na", "Na", "Na", "Na", "Na", "H", "H", "H", "H", "H", "H", "Rh", "Rh"],
  "frac_coords": [[0.173, 0.827, 0.000], [0.269, 0.731, 0.500], [0.370, 0.370, 0.182], [0.630, 0.630, 0.818], [0.731, 0.269, 0.500], [0.827, 0.173, 0.000], [0.092, 0.092, 0.361], [0.192, 0.434, 0.810], [0.434, 0.192, 0.810], [0.566, 0.808, 0.190], [0.808, 0.566, 0.190], [0.908, 0.908, 0.639], [0.178, 0.178, 0.656], [0.822, 0.822, 0.344]]
}

---

{
  "formula": "NaH3Rh",
  "functional": "PBE-GGA",
  "state": "optimized geometry",
  "space_group": "Cmcm (63)",
  "e_tot_ev_per_atom": -3.715,
  "vol_a3_per_atom": 9.2,
  "cell": [[1.447, -6.649, 0.000], [1.447, 6.649, 0.000], [0.000, 0.000, 4.804]],
  "species": ["Na", "Na", "H", "H", "H", "H", "H", "H", "Rh", "Rh"],
  "frac_coords": [[0.153, 0.847, 0.750], [0.847, 0.153, 0.250], [0.000, 0.000, 0.000], [0.000, 0.000, 0.500], [0.059, 0.400, 0.750], [0.400, 0.059, 0.250], [0.600, 0.941, 0.750], [0.941, 0.600, 0.250], [0.435, 0.565, 0.750], [0.565, 0.435, 0.250]]
}

---

{
  "formula": "NaHRh",
  "functional": "PBE-GGA",
  "state": "optimized geometry",
  "space_group": "P3m1 (156)",
  "e_tot_ev_per_atom": -4.073,
  "vol_a3_per_atom": 12.3,
  "cell": [[2.947, 0.000, 0.000], [-1.473, 2.552, 0.000], [0.000, 0.000, 4.909]],
  "species": ["Na", "H", "Rh"],
  "frac_coords": [[0.000, 0.000, 0.000], [0.667, 0.333, 0.384], [0.333, 0.667, 0.504]]
}

---

{
  "formula": "NaH3Rh",
  "functional": "PBE-GGA",
  "state": "optimized geometry",
  "space_group": "Imma (74)",
  "e_tot_ev_per_atom": -3.863,
  "vol_a3_per_atom": 9.9,
  "cell": [[-2.315, 4.611, 2.318], [2.315, -4.611, 2.318], [2.315, 4.611, -2.318]],
  "species": ["Na", "Na", "H", "H", "H", "H", "H", "H", "Rh", "Rh"],
  "frac_coords": [[0.000, 0.000, 0.000], [0.500, 0.000, 0.500], [0.000, 0.000, 0.500], [0.000, 0.500, 0.000], [0.407, 0.000, 0.907], [0.407, 0.500, 0.407], [0.593, 0.000, 0.093], [0.593, 0.500, 0.593], [0.282, 0.532, 0.750], [0.718, 0.468, 0.250]]
}

---

{
  "formula": "NaH4Rh",
  "functional": "PBE-GGA",
  "state": "optimized geometry",
  "space_group": "P2_1/c (14)",
  "e_tot_ev_per_atom": -3.806,
  "vol_a3_per_atom": 8.5,
  "cell": [[5.177, 0.000, 0.000], [0.000, 4.447, 0.000], [-0.023, 0.000, 4.431]],
  "species": ["Na", "Na", "H", "H", "H", "H", "H", "H", "H", "H", "Rh", "Rh"],
  "frac_coords": [[0.000, 0.000, 0.000], [0.000, 0.500, 0.500], [0.183, 0.053, 0.499], [0.183, 0.447, 0.999], [0.370, 0.745, 0.254], [0.370, 0.755, 0.754], [0.630, 0.245, 0.246], [0.630, 0.255, 0.746], [0.817, 0.553, 0.001], [0.817, 0.947, 0.501], [0.500, 0.000, 0.500], [0.500, 0.500, 0.000]]
}

---

{
  "formula": "NaH3Rh",
  "functional": "PBE-GGA",
  "state": "optimized geometry",
  "space_group": "P4mm (99)",
  "e_tot_ev_per_atom": -3.744,
  "vol_a3_per_atom": 9.1,
  "cell": [[2.937, 0.000, 0.000], [0.000, 2.937, 0.000], [0.000, 0.000, 5.277]],
  "species": ["Na", "H", "H", "H", "Rh"],
  "frac_coords": [[0.000, 0.000, 0.000], [0.000, 0.000, 0.598], [0.000, 0.500, 0.328], [0.500, 0.000, 0.328], [0.500, 0.500, 0.505]]
}